Entry 1:
DFT (PBE) results for a relaxed TaZnSbO6 crystal.

The space group is P-31c (No. 163) and the conventional cell measures 5.2600, 5.2600 and 9.1432 Å, with angles of 90.00, 90.00 and 120.00 degrees. The asymmetric unit holds Ta at (0.3333, 0.6667, 0.2500), Zn at (0.0000, 0.0000, 0.0000), Sb at (0.3333, 0.6667, 0.7500) and O at (0.0005, 0.3533, 0.1327).



Entry 2:
DFT (PBE) results for a relaxed Tb3SbO7 crystal.

The space group is Cmcm (No. 63) and the conventional cell measures 10.613, 7.457 and 7.541 Å, with angles of 90.00, 90.00 and 90.00 degrees. The asymmetric unit holds Tb at (0.000, 0.000, 0.000), Tb at (0.229, 0.283, 0.250), Sb at (0.000, 0.500, 0.000), O at (0.000, 0.412, 0.250), O at (0.129, 0.308, 0.533) and O at (0.134, 0.017, 0.250).



Entry 3:
DFT (PBE) results for a relaxed Tb2SbO crystal.

The space group is P4/nmm (No. 129, origin choice 2) and the conventional cell measures 4.490, 4.490 and 8.794 Å, with angles of 90.00, 90.00 and 90.00 degrees. The asymmetric unit holds Tb at (0.250, 0.250, 0.158), Tb at (0.250, 0.750, 0.500), Sb at (0.250, 0.250, 0.799) and O at (0.250, 0.250, 0.425).



Entry 4:
DFT (PBE) results for a relaxed Tb4Sb2O crystal.

The space group is P2_1/m (No. 11) and the conventional cell measures 6.512, 6.634 and 8.894 Å, with angles of 90.00, 108.53 and 90.00 degrees. The asymmetric unit holds Tb at (0.030, 0.001, 0.294), Tb at (0.344, 0.250, 0.054), Tb at (0.425, 0.250, 0.650), Sb at (0.202, 0.750, 0.029), Sb at (0.320, 0.750, 0.596) and O at (0.203, 0.250, 0.792).



Entry 5:
DFT (PBE) results for a relaxed Tb4Sb3O crystal.

The space group is Pmn2_1 (No. 31) and the conventional cell measures 12.036, 6.173 and 6.175 Å, with angles of 90.00, 90.00 and 90.00 degrees. The asymmetric unit holds Tb at (0.000, 0.155, 0.000), Tb at (0.000, 0.747, 0.405), Tb at (0.249, 0.757, 0.002), Sb at (0.000, 0.246, 0.499), Sb at (0.250, 0.257, 0.002) and O at (0.000, 0.818, 0.068).



Entry 6:
DFT (PBE) results for a relaxed Tb12Sb3O5 crystal.

The space group is Ia-3d (No. 230) and the conventional cell measures 15.632, 15.632 and 15.632 Å, with angles of 90.00, 90.00 and 90.00 degrees. The asymmetric unit holds Tb at (0.041, 0.048, 0.647), Sb at (0.000, 0.250, 0.125), O at (0.000, 0.000, 0.000) and O at (0.000, 0.250, 0.375).



Entry 7:
DFT (PBE) results for a relaxed Tb5Sb2O12 crystal.

The space group is C2/m (No. 12) and the conventional cell measures 12.576, 6.094 and 7.413 Å, with angles of 90.00, 107.28 and 90.00 degrees. The asymmetric unit holds Tb at (0.000, 0.000, 0.000), Tb at (0.196, 0.500, 0.329), Tb at (0.203, 0.500, 0.865), Sb at (0.000, 0.246, 0.500), O at (0.001, 0.000, 0.312), O at (0.001, 0.500, 0.309), O at (0.153, 0.249, 0.073) and O at (0.168, 0.269, 0.587).



Entry 8:
DFT (PBE) results for a relaxed Tb3Sb2O2 crystal.

The space group is C2/m (No. 12) and the conventional cell measures 12.262, 3.920 and 7.429 Å, with angles of 90.00, 110.00 and 90.00 degrees. The asymmetric unit holds Tb at (0.000, 0.000, 0.000), Tb at (0.186, 0.500, 0.790), Sb at (0.120, 0.500, 0.335) and O at (0.163, 0.000, 0.920).



Calculated uncorrected formation energy (eV per formula unit), listed in the same order as above: -16.75, -32.48, -8.19, -10.10, -11.52, -34.12, -53.47, -15.05
Calculated DFT total energy (eV for the cell shown), listed in the same order as above: -127.5, -340.8, -53.1, -83.7, -94.7, -1014.7, -288.7, -94.2
Calculated ρ (g/cm³), listed in the same order as above: 7.04, 7.91, 8.53, 8.16, 7.36, 8.18, 7.53, 7.45